ZnNiBMo | OQMD | PBE-GGA | optimized geometry; SG = F-43m (216); final energy = -22.78 eV per cell; total magnetization = 0.014 μB per cell; energy above the most stable polymorph in this dataset = 0 meV per atom
1.0
0.0000 2.8547 2.8547
2.8547 0.0000 2.8547
2.8547 2.8547 0.0000
Zn Ni B Mo
1 1 1 1
direct
0.0000 0.0000 0.0000 Zn
0.2500 0.2500 0.2500 Ni
0.7500 0.7500 0.7500 B
0.5000 0.5000 0.5000 Mo